Entry i
Below is a relaxed structure of Hf2FeReI, with properties calculated at the GGA-PBE level.

CIF file:
```
data_Hf2FeReI
_symmetry_space_group_name_H-M 'P 4/m m m'
_symmetry_Int_Tables_number 123
_symmetry_space_group_name_Hall '-P 4 2'
_cell_length_a 5.107
_cell_length_b 5.107
_cell_length_c 4.691
_cell_angle_alpha 90.00
_cell_angle_beta 90.00
_cell_angle_gamma 90.00
loop_
_atom_site_label
_atom_site_fract_x
_atom_site_fract_y
_atom_site_fract_z
Hf1 0.000 0.500 0.000
Fe1 0.000 0.000 0.500
Re1 0.000 0.000 0.000
I1 0.500 0.500 0.500
```



Entry ii
Below is a relaxed structure of Hf2FeReI, with properties calculated at the GGA-PBE level.

CIF file:
```
data_Hf2FeReI
_symmetry_space_group_name_H-M 'P 4/m m m'
_symmetry_Int_Tables_number 123
_symmetry_space_group_name_Hall '-P 4 2'
_cell_length_a 4.757
_cell_length_b 4.757
_cell_length_c 4.505
_cell_angle_alpha 90.00
_cell_angle_beta 90.00
_cell_angle_gamma 90.00
loop_
_atom_site_label
_atom_site_fract_x
_atom_site_fract_y
_atom_site_fract_z
Hf1 0.000 0.500 0.000
Fe1 0.000 0.000 0.000
Re1 0.500 0.500 0.500
I1 0.000 0.000 0.500
```



In terms of stability, entry i leads; the second structure lies 318 meV/atom higher.